No. 1
Computed, not measured: a relaxed SbAuI2O crystal at the PBE level of DFT.

Computed properties:
**Symmetry**: P4/mmm

POSCAR file:
```
SbAuI2O
1.0
-1.8886 2.6342 -5.0434
0.0517 -5.3059 -2.7906
-3.8465 -0.6237 1.1146
Sb Au I O
1 1 2 1
Cartesian
-1.9232 -0.3119 0.5573
-2.8417 -1.6477 -3.3597
-0.9443 1.3171 -2.5217
0.0258 -2.6529 -1.3953
0.0000 0.0000 0.0000
```

***

No. 2
Computed, not measured: a relaxed SbAuI2O crystal at the PBE level of DFT.

Computed properties:
**Symmetry**: P4/mmm

POSCAR file:
```
SbAuI2O
1.0
5.8547 0.0000 0.0000
0.0000 5.8547 0.0000
0.0000 0.0000 3.9663
I Sb O Au
2 1 1 1
Cartesian
2.9274 0.0000 0.0000
0.0000 2.9274 0.0000
2.9274 2.9274 1.9831
0.0000 0.0000 1.9831
0.0000 0.0000 0.0000
```

***

No. 3
Computed, not measured: a relaxed SbAuI2O crystal at the PBE level of DFT.

Computed properties:
**Symmetry**: P4/mmm

POSCAR file:
```
SbAuI2O
1.0
5.5322 0.0000 0.0000
0.0000 5.5322 0.0000
0.0000 0.0000 5.4655
Au O I Sb
1 1 2 1
Cartesian
0.0000 0.0000 0.0000
2.7661 2.7661 2.7328
0.0000 2.7661 0.0000
2.7661 0.0000 0.0000
0.0000 0.0000 2.7328
```

***

No. 4
Computed, not measured: a relaxed ScAuI2O crystal at the PBE level of DFT.

Computed properties:
**Symmetry**: P4/mmm

POSCAR file:
```
ScAuI2O
1.0
-5.6076 0.7053 1.4279
-1.1967 -5.3145 -2.0747
0.7172 -1.5621 3.5878
I Sc O Au
2 1 1 1
Cartesian
-2.8038 0.3526 0.7140
-0.5984 -2.6573 -1.0374
-3.0436 -3.0857 1.4705
0.3586 -0.7811 1.7939
0.0000 0.0000 0.0000
```

***

The following magnetization values (in μB/f.u.) correspond, in order, to the records above: 0.00 0.00 0.00 0.73.
The following energy relative to the elements, uncorrected values (in meV per atom) correspond, in order, to the records above: 430 354 957 27.
The following uncorrected energy values (in eV per formula unit) correspond, in order, to the records above: -13.3 -13.7 -10.7 -17.5.